A relaxed YCoSbAu crystal, computed with PBE.

abc: 4.8296 4.8296 4.8296
angles: 60.00 60.00 60.00
Atoms (fractional coordinates):
Y 0.0000 0.0000 0.0000
Co 0.7500 0.7500 0.7500
Sb 0.5000 0.5000 0.5000
Au 0.2500 0.2500 0.2500

Values from the calculation:
Final energy (eV/f.u.): -21.93
Energy relative to the lowest polymorph listed for this composition (eV/atom): 0.000